(1)
Here is crystalline Er6Zn2In at its relaxed geometry from Alexandria via LeMat-Bulk. Energies are from PBE-GGA.

Structure (POSCAR):
```
Er6Zn2In
1.0
-7.0239 0.2872 -4.8309
2.5871 -8.0675 0.9884
-1.4872 3.0963 7.8074
Er Zn In
12 4 2
direct
0.5407 0.7252 0.8155
0.4593 0.2748 0.1845
0.0903 0.2748 0.8155
0.9097 0.7252 0.1845
0.7935 0.7597 0.5532
0.2065 0.2403 0.4468
0.2065 0.7597 0.9662
0.7935 0.2403 0.0338
0.7128 0.3965 0.6837
0.2872 0.6035 0.3163
0.2872 0.9709 0.6837
0.7128 0.0291 0.3163
0.5000 0.3758 0.8758
0.5000 0.6242 0.1242
0.6371 0.0000 0.6371
0.3629 0.0000 0.3629
0.0000 0.5000 0.5000
0.0000 0.0000 0.0000
```

E_form (eV/atom): -0.26
Final energy (eV/cell): -70.0



(2)
Here is crystalline Rb3Li2PuO6 at its relaxed geometry from Alexandria via LeMat-Bulk. Energies are from PBE-GGA.

Structure (POSCAR):
```
Rb3Li2PuO6
1.0
6.1375 -0.1987 0.1161
-3.2394 5.2168 0.1161
-0.8398 -1.4540 6.2008
Rb Li Pu O
3 2 1 6
direct
0.1859 0.8141 0.5000
0.8141 0.1859 0.5000
0.5000 0.5000 0.5000
0.2861 0.7139 0.0000
0.7139 0.2861 0.0000
0.0000 0.0000 0.0000
0.9230 0.6398 0.8462
0.8316 0.8316 0.2314
0.0770 0.3602 0.1538
0.6398 0.9230 0.8462
0.1684 0.1684 0.7686
0.3602 0.0770 0.1538
```

Formation energy without anion corrections (eV/atom): -1.93
Final energy (eV/cell): -74.0



(3)
Here is crystalline NpNi5B3 at its relaxed geometry from Alexandria via LeMat-Bulk. Energies are from PBE-GGA.

Structure (POSCAR):
```
NpNi5B3
1.0
3.3450 0.0000 0.0000
-1.6725 5.4192 0.0000
0.0000 0.0000 10.7896
Np Ni B
2 10 6
direct
0.8442 0.6884 0.7500
0.1558 0.3116 0.2500
0.7946 0.5892 0.4308
0.2054 0.4108 0.9308
0.0000 0.0000 0.5000
0.0000 0.0000 0.0000
0.4421 0.8842 0.1439
0.5579 0.1158 0.8561
0.5579 0.1158 0.6439
0.7946 0.5892 0.0692
0.2054 0.4108 0.5692
0.4421 0.8842 0.3561
0.3865 0.7730 0.9615
0.8852 0.7705 0.2500
0.3865 0.7730 0.5385
0.6135 0.2270 0.4615
0.1148 0.2295 0.7500
0.6135 0.2270 0.0385
```

E_form (eV/atom): -0.21
Final energy (eV/cell): -127.5



- Which of these has the lowest final energy?
  NpNi5B3